No. 1
The following is a DFT calculation (PBE) of Ac6Sm3Dy after structural relaxation.

The structure belongs to space group R-3 (No. 148, hexagonal axes); the cell edges are 16.8335, 16.8335 and 9.8566 Å and the angles 90.00°, 90.00° and 120.00°. The distinct sites, in fractional coordinates, are Ac at (0.0308, 0.2642, 0.3502), Ac at (0.0711, 0.5660, 0.6611), Sm at (0.0157, 0.1494, 0.7062), Dy at (0.0000, 0.0000, 0.0000) and Dy at (0.0000, 0.0000, 0.5000).

=====

No. 2
The following is a DFT calculation (PBE) of Ac2Sm6Dy after structural relaxation.

The structure belongs to space group C2/c (No. 15); the cell edges are 15.593, 10.115 and 9.255 Å and the angles 90.00°, 117.91° and 90.00°. The distinct sites, in fractional coordinates, are Ac at (0.095, 0.074, 0.183), Sm at (0.082, 0.417, 0.162), Sm at (0.164, 0.259, 0.579), Sm at (0.237, 0.409, 0.980) and Dy at (0.000, 0.262, 0.750).

=====

No. 3
The following is a DFT calculation (PBE) of AcSm6Dy4 after structural relaxation.

The structure belongs to space group Cmcm (No. 63); the cell edges are 5.948, 9.756 and 25.818 Å and the angles 90.00°, 90.00° and 90.00°. The distinct sites, in fractional coordinates, are Ac at (0.000, 0.220, 0.250), Sm at (0.000, 0.115, 0.679), Sm at (0.000, 0.205, 0.098), Sm at (0.000, 0.438, 0.750), Sm at (0.000, 0.500, 0.000), Dy at (0.000, 0.148, 0.543) and Dy at (0.000, 0.449, 0.623).

=====

These records have formation energy values of 110, 83, 141 kJ/mol of formula units, in the order they appear.
These records have size of the total moment values of 0.00, 0.00, 0.00 μB per formula unit, in the order they appear.